No. 1
Ce2DyGeN5, relaxed, DFT PBE-GGA; space-group type = Cmc2_1; total moment = 0.00 μB/f.u.; formation energy without anion corrections = -993 meV per atom
1.0
-2.814 1.612 -0.803
-2.873 -6.824 3.319
-0.048 4.216 8.627
Ce Dy Ge N
4 2 2 10
Cartesian
-4.761 -0.502 8.721
-0.919 1.606 6.440
-0.978 -0.110 3.207
-4.809 -3.221 3.434
-3.858 -0.483 5.599
-1.853 -2.589 1.295
-1.897 4.199 8.124
-3.857 -3.482 6.523
-3.085 -4.254 2.268
-2.811 2.518 7.954
-4.270 -2.648 9.641
-2.696 -0.871 7.694
-5.383 -2.428 7.037
-2.628 1.313 4.894
-2.934 -2.580 5.100
-1.468 1.932 2.074
-3.032 -0.702 2.266
-0.333 -0.253 0.658

No. 2
Ce2Dy4Ge3O2, relaxed, DFT PBE-GGA; space-group type = I4/mmm; total moment = 2.66 μB/f.u.; DOS at the Fermi energy = 14.9 states/eV/cell; formation energy without anion corrections = -1534 meV per atom
1.0
-2.661 1.288 3.482
-3.660 -1.633 -2.192
4.815 -10.559 4.590
Ce Dy Ge O
2 4 3 2
Cartesian
0.998 -6.472 3.157
-2.504 -4.432 2.723
-0.440 -9.836 3.303
0.060 -8.375 6.140
-1.566 -2.530 -0.261
-1.067 -1.069 2.577
0.000 0.000 0.000
0.566 -3.672 1.791
-2.072 -7.233 4.088
1.342 -8.705 4.246
-2.848 -2.200 1.634

No. 3
CeDyGe2O8, relaxed, DFT PBE-GGA; space-group type = I-4; total moment = 1.10 μB/f.u.; DOS at the Fermi energy = 7.7 states/eV/cell; formation energy without anion corrections = -2382 meV per atom
1.0
5.116 0.000 0.000
0.000 5.116 0.000
-2.558 -2.558 5.622
Ce Dy Ge O
1 1 2 8
Cartesian
2.558 0.000 2.811
0.000 0.000 0.000
2.558 2.558 0.000
0.000 2.558 2.811
3.362 3.866 0.918
1.754 1.251 0.918
1.310 1.757 3.729
-1.310 3.359 3.729
-0.801 1.248 1.893
0.801 3.868 1.893
-1.307 0.804 4.704
1.307 -0.804 4.704